No. 1
Entry from Alexandria via LeMat-Bulk: a relaxed structure of BaBBrF4 (PBE-GGA).

symmetry: C2/m (12)

Cell lengths 6.6089, 6.6089, 7.2961 Å; angles 79.31, 79.31, 69.82 degrees
With the nearest neighbours (Å) after each atom.
Positions (direct):
1 Ba 0.2268 0.2268 0.8231  4 F 2.74-2.75
2 Ba 0.7732 0.7732 0.1769  4 F 2.74-2.75
3 B 0.6181 0.6181 0.7528  4 F 1.40-1.43
4 B 0.3819 0.3819 0.2472  4 F 1.40-1.43
5 Br 0.0532 0.0532 0.2376  2 Ba 3.17-3.18, 3 F 3.30-3.51
6 Br 0.9468 0.9468 0.7624  2 Ba 3.17-3.18, 3 F 3.30-3.51
7 F 0.3184 0.3184 0.4389  1 B 1.41
8 F 0.6816 0.6816 0.5611  1 B 1.41
9 F 0.1939 0.4978 0.1546  1 B 1.43
10 F 0.5134 0.5134 0.2313  1 B 1.40
11 F 0.5022 0.8061 0.8454  1 B 1.43
12 F 0.4978 0.1939 0.1546  1 B 1.43
13 F 0.4866 0.4866 0.7687  1 B 1.40
14 F 0.8061 0.5022 0.8454  1 B 1.43

No. 2
Entry from Alexandria via LeMat-Bulk: a relaxed structure of Ba4NaGa2B8Br3O18 (PBE-GGA).

symmetry: P4_2nm (102)

Cell lengths 6.9862, 12.4164, 12.4164 Å; angles 90.00, 90.00, 90.00 degrees
With the nearest neighbours (Å) after each atom.
Positions (direct):
1 Ba 0.0126 0.9806 0.2740  6 O 2.82-2.95
2 Ba 0.0126 0.0194 0.7260  6 O 2.82-2.95
3 Ba 0.5126 0.5194 0.7740  6 O 2.82-2.95
4 Ba 0.5126 0.4806 0.2260  6 O 2.82-2.95
5 Ba 0.0126 0.7260 0.0194  6 O 2.82-2.95
6 Ba 0.0126 0.2740 0.9806  6 O 2.82-2.95
7 Ba 0.5126 0.7740 0.5194  6 O 2.82-2.95
8 Ba 0.5126 0.2260 0.4806  6 O 2.82-2.95
9 Na 0.3514 0.0000 0.0000  4 O 2.57, 1 Br 2.86
10 Na 0.8514 0.5000 0.5000  4 O 2.57, 1 Br 2.86
11 Ga 0.5177 0.7951 0.2049  4 O 1.86
12 Ga 0.5177 0.2049 0.7951  4 O 1.86
13 Ga 0.0177 0.7049 0.7049  4 O 1.86
14 Ga 0.0177 0.2951 0.2951  4 O 1.86
15 B 0.5527 0.0334 0.2302  3 O 1.37-1.39
16 B 0.5527 0.9666 0.7698  3 O 1.37-1.39
17 B 0.0527 0.4666 0.7302  3 O 1.37-1.39
18 B 0.0527 0.5334 0.2698  3 O 1.37-1.39
19 B 0.5527 0.7698 0.9666  3 O 1.37-1.39
20 B 0.5527 0.2302 0.0334  3 O 1.37-1.39
21 B 0.0527 0.7302 0.4666  3 O 1.37-1.39
22 B 0.0527 0.2698 0.5334  3 O 1.37-1.39
23 B 0.1437 0.7289 0.2711  4 O 1.45-1.50
24 B 0.1437 0.2711 0.7289  4 O 1.45-1.50
25 B 0.6437 0.7711 0.7711  4 O 1.45-1.50
26 B 0.6437 0.2289 0.2289  4 O 1.45-1.50
27 B 0.8180 0.6804 0.3196  4 O 1.45-1.54
28 B 0.8180 0.3196 0.6804  4 O 1.45-1.54
29 B 0.3180 0.8196 0.8196  4 O 1.45-1.54
30 B 0.3180 0.1804 0.1804  4 O 1.45-1.54
31 Br 0.9421 0.0000 0.0000  1 Na 2.86
32 Br 0.4421 0.5000 0.5000  1 Na 2.86
33 Br 0.7807 0.0000 0.5000  4 Ba 3.25-3.38, 4 O 3.44-3.55, 2 Br 3.49
34 Br 0.2807 0.5000 0.0000  4 Ba 3.25-3.38, 4 O 3.44-3.55, 2 Br 3.49
35 Br 0.7807 0.5000 0.0000  4 Ba 3.25-3.38, 4 O 3.44-3.55, 2 Br 3.49
36 Br 0.2807 0.0000 0.5000  4 Ba 3.25-3.38, 4 O 3.44-3.55, 2 Br 3.49
37 O 0.9378 0.7486 0.2514  2 B 1.46-1.48
38 O 0.9378 0.2514 0.7486  2 B 1.46-1.48
39 O 0.4378 0.7514 0.7514  2 B 1.46-1.48
40 O 0.4378 0.2486 0.2486  2 B 1.46-1.48
41 O 0.6865 0.1129 0.2522  2 B 1.39-1.50
42 O 0.6865 0.8871 0.7478  2 B 1.39-1.50
43 O 0.1865 0.3871 0.7522  2 B 1.39-1.50
44 O 0.1865 0.6129 0.2478  2 B 1.39-1.50
45 O 0.6865 0.7478 0.8871  2 B 1.39-1.50
46 O 0.6865 0.2522 0.1129  2 B 1.39-1.50
47 O 0.1865 0.7522 0.3871  2 B 1.39-1.50
48 O 0.1865 0.2478 0.6129  2 B 1.39-1.50
49 O 0.3678 0.0605 0.1977  2 B 1.39-1.54
50 O 0.3678 0.9395 0.8023  2 B 1.39-1.54
51 O 0.8678 0.4395 0.6977  2 B 1.39-1.54
52 O 0.8678 0.5605 0.3023  2 B 1.39-1.54
53 O 0.3678 0.8023 0.9395  2 B 1.39-1.54
54 O 0.3678 0.1977 0.0605  2 B 1.39-1.54
55 O 0.8678 0.6977 0.4395  2 B 1.39-1.54
56 O 0.8678 0.3023 0.5605  2 B 1.39-1.54
57 O 0.6147 0.6962 0.3038  1 B 1.45
58 O 0.6147 0.3038 0.6962  1 B 1.45
59 O 0.1147 0.8038 0.8038  1 B 1.45
60 O 0.1147 0.1962 0.1962  1 B 1.45
61 O 0.2523 0.7994 0.2006  1 B 1.45
62 O 0.2523 0.2006 0.7994  1 B 1.45
63 O 0.7523 0.7006 0.7006  1 B 1.45
64 O 0.7523 0.2994 0.2994  1 B 1.45
65 O 0.6166 0.9297 0.2385  1 B 1.37
66 O 0.6166 0.0703 0.7615  1 B 1.37
67 O 0.1166 0.5703 0.7385  1 B 1.37
68 O 0.1166 0.4297 0.2615  1 B 1.37
69 O 0.6166 0.7615 0.0703  1 B 1.37
70 O 0.6166 0.2385 0.9297  1 B 1.37
71 O 0.1166 0.7385 0.5703  1 B 1.37
72 O 0.1166 0.2615 0.4297  1 B 1.37

No. 3
Entry from Alexandria via LeMat-Bulk: a relaxed structure of Ba2BBr2N2 (PBE-GGA).

symmetry: C2/m (12)

Cell lengths 4.7359, 5.7880, 7.9578 Å; angles 96.53, 90.00, 114.15 degrees
With the nearest neighbours (Å) after each atom.
Positions (direct):
1 Ba 0.6794 0.3588 0.2852  3 N 2.80-2.83
2 Ba 0.3206 0.6412 0.7148  3 N 2.80-2.83
3 B 0.0000 0.0000 0.5000  2 N 1.34
4 Br 0.6316 0.2633 0.8521  4 Ba 3.33-3.42
5 Br 0.3684 0.7367 0.1479  4 Ba 3.33-3.42
6 N 0.8825 0.7650 0.5481  1 B 1.34
7 N 0.1175 0.2350 0.4519  1 B 1.34

Number 1: DFT total energy -76.96 eV/cell, M_tot 0.00 μB per cell. Number 2: DFT total energy -503.66 eV/cell, M_tot 0.00 μB per cell. Number 3: DFT total energy -39.49 eV/cell, M_tot 1.01 μB per cell.